No. 1
! TlP2Br (GGA-PBE, optimized geometry); values from VASP
&SYSTEM
  ibrav = 0, nat = 4, ntyp = 3
/
ATOMIC_SPECIES
Tl 204.38 Tl.upf
P 30.97 P.upf
Br 79.90 Br.upf
ATOMIC_POSITIONS crystal
Tl 0.0000 0.0000 0.0000
P 0.2500 0.7500 0.5000
P 0.7500 0.2500 0.5000
Br 0.5000 0.5000 0.0000
CELL_PARAMETERS angstrom
-1.9661 1.9661 7.0434
1.9661 -1.9661 7.0434
1.9661 1.9661 -7.0434
! Fermi-level density of states   4.0 states/eV/f.u.
! E above lowest polymorph   720 meV/atom
! Formation energy without anion corrections   0.601 eV/atom
! Energy   -3.113 eV per atom

No. 2
! BaHoGa2Au2 (GGA-PBE, optimized geometry); values from VASP
&SYSTEM
  ibrav = 0, nat = 6, ntyp = 4
/
ATOMIC_SPECIES
Ba 137.33 Ba.upf
Ho 164.93 Ho.upf
Ga 69.72 Ga.upf
Au 196.97 Au.upf
ATOMIC_POSITIONS crystal
Ba 0.0000 0.0000 0.0000
Ho 0.0000 0.0000 0.5000
Ga 0.3333 0.6667 0.3080
Ga 0.6667 0.3333 0.6920
Au 0.3333 0.6667 0.6878
Au 0.6667 0.3333 0.3122
CELL_PARAMETERS angstrom
4.6444 0.0000 0.0000
-2.3222 4.0222 0.0000
0.0000 0.0000 7.9798
! Energy of formation   -0.727 eV/atom
! Fermi-level density of states   4.9 states/eV/f.u.
! Energy   -3.912 eV per atom

No. 3
! ScMnMo2 (GGA-PBE, optimized geometry); values from VASP
&SYSTEM
  ibrav = 0, nat = 4, ntyp = 3
/
ATOMIC_SPECIES
Sc 44.96 Sc.upf
Mn 54.94 Mn.upf
Mo 95.94 Mo.upf
ATOMIC_POSITIONS crystal
Sc 0.0000 0.0000 0.0000
Mn 0.7500 0.7500 0.7500
Mo 0.2500 0.2500 0.2500
Mo 0.5000 0.5000 0.5000
CELL_PARAMETERS angstrom
0.0000 3.1559 3.1559
3.1559 0.0000 3.1559
3.1559 3.1559 0.0000
! Energy of formation   0.100 eV/atom
! Fermi-level density of states   4.1 states/eV/f.u.
! E above lowest polymorph   50 meV/atom
! Energy   -9.190 eV per atom

No. 4
! TbTm2Pa (GGA-PBE, optimized geometry); values from VASP
&SYSTEM
  ibrav = 0, nat = 4, ntyp = 3
/
ATOMIC_SPECIES
Tb 158.93 Tb.upf
Tm 168.93 Tm.upf
Pa 231.04 Pa.upf
ATOMIC_POSITIONS crystal
Tb 0.0000 0.0000 0.0000
Tm 0.0000 0.5000 0.5000
Tm 0.5000 0.0000 0.5000
Pa 0.5000 0.5000 0.0000
CELL_PARAMETERS angstrom
5.7254 0.0000 0.0000
0.0000 5.7254 0.0000
0.0000 0.0000 3.5351
! Energy of formation   0.277 eV/atom
! Fermi-level density of states   7.4 states/eV/f.u.
! E above lowest polymorph   176 meV/atom
! Energy   -5.491 eV per atom